Material: DyHo5Sc2
Method: DFT, PBE
State: optimized geometry

symmetry = I4/mcm, No. 140
excess energy over the best structure of this formula in the dataset = 81.7 meV per atom
DFT formation energy = 0.84 eV/f.u.
VASP energy = -4.914 eV/atom
density of states at the Fermi level = 18.56 states/eV/cell
magnetic moment = 0.00 μB per formula unit

abc: 8.7440 8.7440 8.7552
angles: 119.96 119.96 90.00
Closest atoms and distances in Å follow each position.
Element x y z (fractional)
Ho1 0.5069 0.3093 0.3162  3 Sc 3.22-3.23, 3 Ho 3.34-3.49, 2 Dy 3.51
Ho2 0.4931 0.6907 0.6838  3 Sc 3.22-3.23, 3 Ho 3.34-3.49, 2 Dy 3.51
Dy1 0.7500 0.7500 0.5000  2 Ho 3.10
Ho3 0.0069 0.5069 0.3162  3 Sc 3.22-3.23, 3 Ho 3.34-3.49, 2 Dy 3.51
Ho4 0.6907 0.1907 0.6838  3 Sc 3.22-3.23, 3 Ho 3.34-3.49, 2 Dy 3.51
Sc1 0.6425 0.1425 0.0000  8 Ho 3.22-3.37, 1 Sc 3.52
Ho5 0.5000 0.5000 0.0000  2 Dy 3.10, 4 Sc 3.37
Dy2 0.2500 0.2500 0.5000  2 Ho 3.10
Sc2 0.3575 0.8575 0.0000  8 Ho 3.22-3.37, 1 Sc 3.52
Sc3 0.1425 0.3575 0.0000  8 Ho 3.22-3.37, 1 Sc 3.52
Ho6 0.8093 0.0069 0.3162  3 Sc 3.22-3.23, 3 Ho 3.34-3.49, 2 Dy 3.51
Ho7 0.1907 0.9931 0.6838  3 Sc 3.22-3.23, 3 Ho 3.34-3.49, 2 Dy 3.51
Ho8 0.3093 0.8093 0.3162  3 Sc 3.22-3.23, 3 Ho 3.34-3.49, 2 Dy 3.51
Ho9 0.0000 0.0000 0.0000  2 Dy 3.10, 4 Sc 3.37
Sc4 0.8575 0.6425 0.0000  8 Ho 3.22-3.37, 1 Sc 3.52
Ho10 0.9931 0.4931 0.6838  3 Sc 3.22-3.23, 3 Ho 3.34-3.49, 2 Dy 3.51